Below is crystalline Mg3Tl at its relaxed geometry, with properties calculated at the PBE-GGA level.

Values from the calculation:
- Space-group type: P4/mmm
- Total DFT energy (no corrections): -0.132 Ry/atom
- ρ: 4.8 g/cm³
- DFT formation energy: -0.015 eV/f.u.

Unit cell a=3.3625 b=3.3625 c=8.5262 alpha=90.00 beta=90.00 gamma=90.00
With the nearest neighbours (Å) after each atom.
Positions (direct):
Mg1 0.0000 0.0000 0.0000  12 Mg 3.15-3.36
Mg2 0.5000 0.5000 0.2430  8 Mg 3.15-3.36, 4 Tl 3.23
Mg3 0.5000 0.5000 0.7570  8 Mg 3.15-3.36, 4 Tl 3.23
Tl1 0.0000 0.0000 0.5000  8 Mg 3.23, 4 Tl 3.36